[1]
This record from Alexandria via LeMat-Bulk describes Rb2YIF6 after structural relaxation. The functional is PBE-GGA.

Lattice parameters (Å, degrees): 7.590 7.590 6.919 56.74 56.74 90.00
Atoms (fractional coordinates):
F: 0.243 0.243 0.513
F: 0.300 0.300 0.000
F: 0.757 0.757 0.487
Rb: 0.250 0.750 0.500
F: 0.700 0.300 0.000
F: 0.300 0.700 0.000
Rb: 0.750 0.250 0.500
I: 0.000 0.000 0.000
Y: 0.500 0.500 0.000
F: 0.700 0.700 0.000

* total energy: -4.896 eV per atom
* Fermi-level density of states: 0.0 states/eV/cell

[2]
This record from Alexandria via LeMat-Bulk describes Rb2YI6F after structural relaxation. The functional is PBE-GGA.

Lattice parameters (Å, degrees): 9.119 9.119 8.384 57.05 57.05 90.00
Atoms (fractional coordinates):
F: 0.500 0.500 0.000
I: 0.714 0.714 0.573
I: 0.768 0.768 0.000
I: 0.286 0.286 0.427
I: 0.232 0.768 0.000
Rb: 0.750 0.250 0.500
Y: 0.000 0.000 0.000
I: 0.768 0.232 0.000
Rb: 0.250 0.750 0.500
I: 0.232 0.232 0.000

* total energy: -3.114 eV per atom
* Fermi-level density of states: 9.4 states/eV/cell

[3]
This record from Alexandria via LeMat-Bulk describes RbZnIF2 after structural relaxation. The functional is PBE-GGA.

Lattice parameters (Å, degrees): 5.784 6.841 7.943 115.51 90.00 90.00
Atoms (fractional coordinates):
Rb: 0.250 0.612 0.225
I: 0.250 0.221 0.443
Zn: 0.250 0.040 0.080
F: 0.000 0.804 0.000
F: 0.000 0.196 0.000
F: 0.500 0.196 0.000
Rb: 0.750 0.388 0.775
I: 0.750 0.779 0.557
F: 0.500 0.804 0.000
Zn: 0.750 0.960 0.920

* total energy: -3.495 eV per atom
* Fermi-level density of states: 0.0 states/eV/cell